LaPm2Ho2Er | PBE | relaxed

Lattice parameters (Å, degrees): 7.034 9.897 5.671 90.00 90.00 90.00
Positions (direct):
La 0.000 0.000 0.000
La 0.500 0.500 0.500
Pm 0.246 0.333 0.000
Pm 0.254 0.833 0.500
Pm 0.746 0.167 0.500
Pm 0.754 0.667 0.000
Ho 0.250 0.167 0.500
Ho 0.250 0.667 0.000
Ho 0.750 0.333 0.000
Ho 0.750 0.833 0.500
Er 0.000 0.500 0.500
Er 0.500 0.000 0.000

Computed properties:
SG: No. 58
uncorrected energy: -27.77 eV per formula unit
DFT formation energy: 0.062 eV/atom